1.
## Li2PbBr (meta-GGA SCAN)

Data for a PBEsol-optimized structure of Li2PbBr.

Output
Space-group type: Cmmm
Formation energy (no corrections), eV per atom: -0.8187
Electronic total energy, eV per cell: -103.3

```
Li2PbBr
1.0
3.4009 0.1567 0.0000
-1.2476 3.1677 0.0000
0.0000 0.0000 8.0745
Br Li Pb
1 2 1
direct
0.5000 0.5000 0.0000
0.0000 0.0000 0.2073
0.0000 0.0000 0.7927
0.5000 0.5000 0.5000
```



2.
## LiPbBr2 (meta-GGA SCAN)

Data for a PBEsol-optimized structure of LiPbBr2.

Output
Space-group type: Amm2
Formation energy (no corrections), eV per atom: -0.9932
Electronic total energy, eV per cell: -121.1

```
LiPbBr2
1.0
-2.9809 1.0240 -1.7172
1.5663 -1.2566 -3.4682
-1.8376 -8.1062 2.1072
Br Li Pb
2 1 1
direct
0.4610 0.0000 0.9221
0.1496 0.5000 0.2993
0.0660 0.0000 0.1319
0.3236 0.5000 0.6472
```



3.
## Li2PbBr (meta-GGA SCAN)

Data for a PBEsol-optimized structure of Li2PbBr.

Output
Space-group type: Cmmm
Formation energy (no corrections), eV per atom: -0.6053
Electronic total energy, eV per cell: -102.4

```
Li2PbBr
1.0
-1.7484 -2.4725 -1.5897
2.6180 -3.5699 2.6731
-4.1591 1.0946 2.8717
Br Li Pb
1 2 1
direct
0.5000 0.5000 0.5000
0.0000 0.5000 0.0000
0.0000 0.0000 0.5000
0.5000 0.0000 0.0000
```



4.
## LiPb2Br (meta-GGA SCAN)

Data for a PBEsol-optimized structure of LiPb2Br.

Output
Space-group type: Cm
Formation energy (no corrections), eV per atom: -0.6553
Electronic total energy, eV per cell: -176.0

```
LiPb2Br
1.0
-0.0929 -2.4587 2.7218
3.0302 1.8941 -0.6586
-4.8855 6.1858 5.4210
Br Li Pb
1 1 2
direct
0.4766 0.9532 0.4291
0.7698 0.5396 0.3046
0.0057 0.0113 0.0200
0.2480 0.4959 0.7464
```